(1)
This record from OQMD describes CuGe2As after structural relaxation. The functional is PBE-GGA.

Cell and atoms, written as CIF:
```
data_CuGe2As
_cell_length_a 6.527
_cell_length_b 6.527
_cell_length_c 6.527
_cell_angle_alpha 90.00
_cell_angle_beta 90.00
_cell_angle_gamma 90.00
_space_group_name_H-M_alt 'F -4 3 m'
_space_group_IT_number 216
_space_group_name_Hall 'F -4 2 3'
loop_
_atom_site_label
_atom_site_type_symbol
_atom_site_fract_x
_atom_site_fract_y
_atom_site_fract_z
_atom_site_occupancy
Cu1 Cu 0.000 0.000 0.000 1
Ge1 Ge 0.000 0.000 0.500 1
Ge2 Ge 0.250 0.250 0.250 1
As1 As 0.250 0.250 0.750 1
```


(2)
This record from OQMD describes ThBeSi after structural relaxation. The functional is PBE-GGA.

Spin magnetization, μB per formula unit: 0.00

Cell and atoms, written as CIF:
```
data_ThBeSi
_cell_length_a 6.172
_cell_length_b 6.172
_cell_length_c 6.172
_cell_angle_alpha 90.00
_cell_angle_beta 90.00
_cell_angle_gamma 90.00
_space_group_name_H-M_alt 'F -4 3 m'
_space_group_IT_number 216
_space_group_name_Hall 'F -4 2 3'
loop_
_atom_site_label
_atom_site_type_symbol
_atom_site_fract_x
_atom_site_fract_y
_atom_site_fract_z
_atom_site_occupancy
Th1 Th 0.000 0.000 0.000 1
Be1 Be 0.250 0.250 0.750 1
Si1 Si 0.000 0.000 0.500 1
```


(3)
This record from OQMD describes DyHo2Ni9 after structural relaxation. The functional is PBE-GGA.

Spin magnetization, μB per formula unit: 0.81
Formation energy, meV per atom: -426

Cell and atoms, written as CIF:
```
data_DyHo2Ni9
_cell_length_a 4.9302
_cell_length_b 4.9302
_cell_length_c 24.2571
_cell_angle_alpha 90.00
_cell_angle_beta 90.00
_cell_angle_gamma 120.00
_space_group_name_H-M_alt 'R -3 m'
_space_group_IT_number 166
_space_group_name_Hall '-R 3 2"'
loop_
_atom_site_label
_atom_site_type_symbol
_atom_site_fract_x
_atom_site_fract_y
_atom_site_fract_z
_atom_site_occupancy
Dy1 Dy 0.0000 0.0000 0.0000 1
Ho1 Ho 0.0000 0.0000 0.1390 1
Ni1 Ni 0.0000 0.0000 0.3330 1
Ni2 Ni 0.0000 0.0000 0.5000 1
Ni3 Ni 0.0008 0.5004 0.9179 1
```


(4)
This record from OQMD describes RbSiMo after structural relaxation. The functional is PBE-GGA.

Spin magnetization, μB per formula unit: 1.66

Cell and atoms, written as CIF:
```
data_RbSiMo
_cell_length_a 6.519
_cell_length_b 6.519
_cell_length_c 6.519
_cell_angle_alpha 90.00
_cell_angle_beta 90.00
_cell_angle_gamma 90.00
_space_group_name_H-M_alt 'F -4 3 m'
_space_group_IT_number 216
_space_group_name_Hall 'F -4 2 3'
loop_
_atom_site_label
_atom_site_type_symbol
_atom_site_fract_x
_atom_site_fract_y
_atom_site_fract_z
_atom_site_occupancy
Rb1 Rb 0.000 0.000 0.000 1
Si1 Si 0.000 0.000 0.500 1
Mo1 Mo 0.250 0.250 0.250 1
```


(5)
This record from OQMD describes CdHg2Pb after structural relaxation. The functional is PBE-GGA.

Cell and atoms, written as CIF:
```
data_CdHg2Pb
_cell_length_a 7.517
_cell_length_b 7.517
_cell_length_c 7.517
_cell_angle_alpha 90.00
_cell_angle_beta 90.00
_cell_angle_gamma 90.00
_space_group_name_H-M_alt 'F -4 3 m'
_space_group_IT_number 216
_space_group_name_Hall 'F -4 2 3'
loop_
_atom_site_label
_atom_site_type_symbol
_atom_site_fract_x
_atom_site_fract_y
_atom_site_fract_z
_atom_site_occupancy
Cd1 Cd 0.000 0.000 0.000 1
Hg1 Hg 0.000 0.000 0.500 1
Hg2 Hg 0.250 0.250 0.250 1
Pb1 Pb 0.250 0.250 0.750 1
```


(6)
This record from OQMD describes NaDyU after structural relaxation. The functional is PBE-GGA.

Spin magnetization, μB per formula unit: 5.51

Cell and atoms, written as CIF:
```
data_NaDyU
_cell_length_a 7.372
_cell_length_b 7.372
_cell_length_c 7.372
_cell_angle_alpha 90.00
_cell_angle_beta 90.00
_cell_angle_gamma 90.00
_space_group_name_H-M_alt 'F -4 3 m'
_space_group_IT_number 216
_space_group_name_Hall 'F -4 2 3'
loop_
_atom_site_label
_atom_site_type_symbol
_atom_site_fract_x
_atom_site_fract_y
_atom_site_fract_z
_atom_site_occupancy
Na1 Na 0.000 0.000 0.000 1
Dy1 Dy 0.250 0.250 0.750 1
U1 U 0.250 0.250 0.250 1
```


(7)
This record from OQMD describes SmGa after structural relaxation. The functional is PBE-GGA.

Spin magnetization, μB per formula unit: 0.05

Cell and atoms, written as CIF:
```
data_SmGa
_cell_length_a 6.638
_cell_length_b 6.638
_cell_length_c 6.638
_cell_angle_alpha 90.00
_cell_angle_beta 90.00
_cell_angle_gamma 90.00
_space_group_name_H-M_alt 'F -4 3 m'
_space_group_IT_number 216
_space_group_name_Hall 'F -4 2 3'
loop_
_atom_site_label
_atom_site_type_symbol
_atom_site_fract_x
_atom_site_fract_y
_atom_site_fract_z
_atom_site_occupancy
Sm1 Sm 0.000 0.000 0.000 1
Ga1 Ga 0.250 0.250 0.250 1
```


(8)
This record from OQMD describes La2CdIn after structural relaxation. The functional is PBE-GGA.

Spin magnetization, μB per formula unit: 0.07

Cell and atoms, written as CIF:
```
data_La2CdIn
_cell_length_a 3.606
_cell_length_b 3.606
_cell_length_c 9.184
_cell_angle_alpha 90.00
_cell_angle_beta 90.00
_cell_angle_gamma 90.00
_space_group_name_H-M_alt 'P 4/m m m'
_space_group_IT_number 123
_space_group_name_Hall '-P 4 2'
loop_
_atom_site_label
_atom_site_type_symbol
_atom_site_fract_x
_atom_site_fract_y
_atom_site_fract_z
_atom_site_occupancy
La1 La 0.000 0.000 0.250 1
Cd1 Cd 0.500 0.500 0.000 1
In1 In 0.500 0.500 0.500 1
```


(9)
This record from OQMD describes Tm3PIr after structural relaxation. The functional is PBE-GGA.

Spin magnetization, μB per formula unit: 0.00

Cell and atoms, written as CIF:
```
data_Tm3PIr
_cell_length_a 8.4508
_cell_length_b 8.4508
_cell_length_c 6.1831
_cell_angle_alpha 90.00
_cell_angle_beta 90.00
_cell_angle_gamma 120.00
_space_group_name_H-M_alt 'P 63/m m c'
_space_group_IT_number 194
_space_group_name_Hall '-P 6c 2c'
loop_
_atom_site_label
_atom_site_type_symbol
_atom_site_fract_x
_atom_site_fract_y
_atom_site_fract_z
_atom_site_occupancy
Tm1 Tm 0.1538 0.3075 0.2500 1
P1 P 0.3333 0.6667 0.2500 1
Ir1 Ir 0.0000 0.0000 0.0000 1
```


(10)
This record from OQMD describes In2Sn2Hg after structural relaxation. The functional is PBE-GGA.

Cell and atoms, written as CIF:
```
data_In2Sn2Hg
_cell_length_a 4.967
_cell_length_b 4.967
_cell_length_c 12.296
_cell_angle_alpha 90.00
_cell_angle_beta 90.00
_cell_angle_gamma 90.00
_space_group_name_H-M_alt 'I 4/m m m'
_space_group_IT_number 139
_space_group_name_Hall '-I 4 2'
loop_
_atom_site_label
_atom_site_type_symbol
_atom_site_fract_x
_atom_site_fract_y
_atom_site_fract_z
_atom_site_occupancy
In1 In 0.000 0.500 0.250 1
Sn1 Sn 0.000 0.000 0.115 1
Hg1 Hg 0.000 0.000 0.500 1
```


(11)
This record from OQMD describes PmZr after structural relaxation. The functional is PBE-GGA.

Spin magnetization, μB per formula unit: 0.00
Formation energy, meV per atom: 136

Cell and atoms, written as CIF:
```
data_PmZr
_cell_length_a 6.951
_cell_length_b 17.768
_cell_length_c 5.470
_cell_angle_alpha 90.00
_cell_angle_beta 90.00
_cell_angle_gamma 90.00
_space_group_name_H-M_alt 'P b c m'
_space_group_IT_number 57
_space_group_name_Hall '-P 2c 2b'
loop_
_atom_site_label
_atom_site_type_symbol
_atom_site_fract_x
_atom_site_fract_y
_atom_site_fract_z
_atom_site_occupancy
Pm1 Pm 0.119 0.032 0.250 1
Pm2 Pm 0.370 0.526 0.250 1
Pm3 Pm 0.375 0.192 0.250 1
Zr1 Zr 0.096 0.147 0.750 1
Zr2 Zr 0.127 0.701 0.250 1
Zr3 Zr 0.346 0.644 0.750 1
```


(12)
This record from OQMD describes HfGaNi after structural relaxation. The functional is PBE-GGA.

Spin magnetization, μB per formula unit: 0.00

Cell and atoms, written as CIF:
```
data_HfGaNi
_cell_length_a 6.4208
_cell_length_b 6.4208
_cell_length_c 3.9215
_cell_angle_alpha 90.00
_cell_angle_beta 90.00
_cell_angle_gamma 120.00
_space_group_name_H-M_alt 'P -6 2 m'
_space_group_IT_number 189
_space_group_name_Hall 'P -6 -2'
loop_
_atom_site_label
_atom_site_type_symbol
_atom_site_fract_x
_atom_site_fract_y
_atom_site_fract_z
_atom_site_occupancy
Hf1 Hf 0.0000 0.5703 0.0000 1
Ga1 Ga 0.0000 0.0000 0.0000 1
Ga2 Ga 0.3333 0.6667 0.5000 1
Ni1 Ni 0.0000 0.2389 0.5000 1
```


no.,total DFT energy (no corrections) (eV/atom)
1,-4.03
2,-5.63
3,-5.75
4,-4.15
5,-1.22
6,-4.20
7,-3.43
8,-3.78
9,-5.89
10,-2.66
11,-6.51
12,-6.72